The following is a DFT calculation (PBEsol) of a relaxed structure of YZrMnNb2.

```
data_YZrMnNb2
_chemical_formula_sum 'Y1 Zr1 Mn1 Nb2'
_cell_length_a 4.833
_cell_length_b 4.833
_cell_length_c 5.306
_cell_angle_alpha 90.00
_cell_angle_beta 90.00
_cell_angle_gamma 90.00
_symmetry_space_group_name_H-M 'P 4/m m m'
_symmetry_Int_Tables_number 123
_symmetry_space_group_name_Hall '-P 4 2'
loop_
_atom_site_label
_atom_site_type_symbol
_atom_site_fract_x
_atom_site_fract_y
_atom_site_fract_z
Y1 Y 0.000 0.000 0.000
Zr1 Zr 0.000 0.000 0.500
Mn1 Mn 0.500 0.500 0.000
Nb1 Nb 0.000 0.500 0.500
```

The energy of formation from the pure elements comes out at 1.622 eV/atom. The total DFT energy (no corrections) is -7.841 eV per atom.



The following is a DFT calculation (PBEsol) of a relaxed structure of ZrMnNb3.

```
data_ZrMnNb3
_chemical_formula_sum 'Zr1 Mn1 Nb3'
_cell_length_a 4.824
_cell_length_b 4.824
_cell_length_c 4.824
_cell_angle_alpha 90.00
_cell_angle_beta 90.00
_cell_angle_gamma 90.00
_symmetry_space_group_name_H-M 'P m -3 m'
_symmetry_Int_Tables_number 221
_symmetry_space_group_name_Hall '-P 4 2 3'
loop_
_atom_site_label
_atom_site_type_symbol
_atom_site_fract_x
_atom_site_fract_y
_atom_site_fract_z
Zr1 Zr 0.000 0.000 0.000
Mn1 Mn 0.500 0.500 0.500
Nb1 Nb 0.000 0.000 0.500
```

The energy of formation from the pure elements comes out at 1.852 eV/atom. The total DFT energy (no corrections) is -8.411 eV per atom.



The following is a DFT calculation (PBEsol) of a relaxed structure of Nd4MnNi3O12.

```
data_Nd4MnNi3O12
_chemical_formula_sum 'Nd4 Mn1 Ni3 O12'
_cell_length_a 5.372
_cell_length_b 5.389
_cell_length_c 7.518
_cell_angle_alpha 90.07
_cell_angle_beta 90.03
_cell_angle_gamma 90.15
_symmetry_space_group_name_H-M 'P -1'
_symmetry_Int_Tables_number 2
loop_
_symmetry_equiv_pos_as_xyz
'x,y,z'
'-x,-y,-z'
loop_
_atom_site_label
_atom_site_type_symbol
_atom_site_fract_x
_atom_site_fract_y
_atom_site_fract_z
Nd1 Nd 0.008 0.039 0.254
Nd2 Nd 0.491 0.543 0.254
Mn1 Mn 0.000 0.500 0.000
Ni1 Ni 0.000 0.500 0.500
Ni2 Ni 0.500 0.000 0.000
Ni3 Ni 0.500 0.000 0.500
O1 O 0.073 0.510 0.752
O2 O 0.210 0.780 0.039
O3 O 0.219 0.781 0.462
O4 O 0.279 0.289 0.039
O5 O 0.281 0.281 0.462
O6 O 0.426 0.011 0.748
```

The total DFT energy (no corrections) is -7.905 eV per atom.



The following is a DFT calculation (PBEsol) of a relaxed structure of NdMn7O12.

```
data_NdMn7O12
_chemical_formula_sum 'Nd2 Mn14 O24'
_cell_length_a 7.375
_cell_length_b 7.375
_cell_length_c 7.375
_cell_angle_alpha 90.00
_cell_angle_beta 90.00
_cell_angle_gamma 90.00
_symmetry_space_group_name_H-M 'I m -3'
_symmetry_Int_Tables_number 204
_symmetry_space_group_name_Hall '-I 2 2 3'
loop_
_atom_site_label
_atom_site_type_symbol
_atom_site_fract_x
_atom_site_fract_y
_atom_site_fract_z
Nd1 Nd 0.000 0.000 0.000
Mn1 Mn 0.000 0.000 0.500
Mn2 Mn 0.250 0.250 0.250
O1 O 0.000 0.306 0.176
```

The total DFT energy (no corrections) is -8.674 eV per atom.



The following is a DFT calculation (PBEsol) of a relaxed structure of Sr3NdMn2O8.

```
data_Sr3NdMn2O8
_chemical_formula_sum 'Sr6 Nd2 Mn4 O16'
_cell_length_a 5.401
_cell_length_b 5.401
_cell_length_c 12.217
_cell_angle_alpha 90.00
_cell_angle_beta 90.00
_cell_angle_gamma 90.00
_symmetry_space_group_name_H-M 'A m m 2'
_symmetry_Int_Tables_number 38
loop_
_symmetry_equiv_pos_as_xyz
'x,y,z'
'-x,-y,z'
'-x,y,z'
'x,-y,z'
'x,y+1/2,z+1/2'
'-x,-y+1/2,z+1/2'
'-x,y+1/2,z+1/2'
'x,-y+1/2,z+1/2'
loop_
_atom_site_label
_atom_site_type_symbol
_atom_site_fract_x
_atom_site_fract_y
_atom_site_fract_z
Sr1 Sr 0.000 0.000 0.000
Sr2 Sr 0.000 0.000 0.285
Sr3 Sr 0.500 0.000 0.497
Nd1 Nd 0.500 0.000 0.778
Mn1 Mn 0.000 0.000 0.640
Mn2 Mn 0.500 0.000 0.140
O1 O 0.000 0.000 0.485
O2 O 0.000 0.000 0.801
O3 O 0.256 0.246 0.645
O4 O 0.500 0.000 0.299
O5 O 0.500 0.000 0.973
```

The total DFT energy (no corrections) is -7.770 eV per atom.



The following is a DFT calculation (PBEsol) of a relaxed structure of Sr2NdMn2O7.

```
data_Sr2NdMn2O7
_chemical_formula_sum 'Sr4 Nd2 Mn4 O14'
_cell_length_a 3.825
_cell_length_b 3.825
_cell_length_c 19.777
_cell_angle_alpha 90.00
_cell_angle_beta 90.00
_cell_angle_gamma 90.00
_symmetry_space_group_name_H-M 'I 4 m m'
_symmetry_Int_Tables_number 107
_symmetry_space_group_name_Hall 'I 4 -2'
loop_
_atom_site_label
_atom_site_type_symbol
_atom_site_fract_x
_atom_site_fract_y
_atom_site_fract_z
Sr1 Sr 0.000 0.000 0.000
Sr2 Sr 0.000 0.000 0.178
Nd1 Nd 0.000 0.000 0.364
Mn1 Mn 0.000 0.000 0.583
Mn2 Mn 0.000 0.000 0.778
O1 O 0.000 0.000 0.481
O2 O 0.000 0.000 0.683
O3 O 0.000 0.000 0.878
O4 O 0.000 0.500 0.085
O5 O 0.000 0.500 0.285
```

The total DFT energy (no corrections) is -7.980 eV per atom. As for the energy above the most stable polymorph in this dataset: 0.0103 eV per atom.



The following is a DFT calculation (PBEsol) of a relaxed structure of Sr2NdMn2O7.

```
data_Sr2NdMn2O7
_chemical_formula_sum 'Sr4 Nd2 Mn4 O14'
_cell_length_a 3.811
_cell_length_b 3.811
_cell_length_c 19.854
_cell_angle_alpha 90.00
_cell_angle_beta 90.00
_cell_angle_gamma 90.00
_symmetry_space_group_name_H-M 'I 4/m m m'
_symmetry_Int_Tables_number 139
_symmetry_space_group_name_Hall '-I 4 2'
loop_
_atom_site_label
_atom_site_type_symbol
_atom_site_fract_x
_atom_site_fract_y
_atom_site_fract_z
Sr1 Sr 0.000 0.000 0.183
Nd1 Nd 0.000 0.000 0.000
Mn1 Mn 0.000 0.000 0.403
O1 O 0.000 0.000 0.307
O2 O 0.000 0.000 0.500
O3 O 0.000 0.500 0.090
```

The total DFT energy (no corrections) is -7.990 eV per atom. As for the energy above the most stable polymorph in this dataset: 0.0000 eV per atom.



The following is a DFT calculation (PBEsol) of a relaxed structure of NdMn3V4O12.

```
data_NdMn3V4O12
_chemical_formula_sum 'Nd2 Mn6 V8 O24'
_cell_length_a 7.388
_cell_length_b 7.388
_cell_length_c 7.388
_cell_angle_alpha 90.00
_cell_angle_beta 90.00
_cell_angle_gamma 90.00
_symmetry_space_group_name_H-M 'I m -3'
_symmetry_Int_Tables_number 204
_symmetry_space_group_name_Hall '-I 2 2 3'
loop_
_atom_site_label
_atom_site_type_symbol
_atom_site_fract_x
_atom_site_fract_y
_atom_site_fract_z
Nd1 Nd 0.000 0.000 0.000
Mn1 Mn 0.000 0.000 0.500
V1 V 0.250 0.250 0.250
O1 O 0.000 0.303 0.179
```

The total DFT energy (no corrections) is -9.024 eV per atom.



The following is a DFT calculation (PBEsol) of a relaxed structure of Nd2Mn3Sb4S12.

```
data_Nd2Mn3Sb4S12
_chemical_formula_sum 'Nd4 Mn6 Sb8 S24'
_cell_length_a 19.579
_cell_length_b 3.825
_cell_length_c 14.617
_cell_angle_alpha 90.00
_cell_angle_beta 126.60
_cell_angle_gamma 90.00
_symmetry_space_group_name_H-M 'C 1 2/m 1'
_symmetry_Int_Tables_number 12
loop_
_symmetry_equiv_pos_as_xyz
'x,y,z'
'-x,-y,-z'
'-x,y,-z'
'x,-y,z'
'x+1/2,y+1/2,z'
'-x+1/2,-y+1/2,-z'
'-x+1/2,y+1/2,-z'
'x+1/2,-y+1/2,z'
loop_
_atom_site_label
_atom_site_type_symbol
_atom_site_fract_x
_atom_site_fract_y
_atom_site_fract_z
Nd1 Nd 0.239 0.000 0.140
Mn1 Mn 0.000 0.000 0.000
Mn2 Mn 0.199 0.000 0.376
Sb1 Sb 0.041 0.500 0.813
Sb2 Sb 0.102 0.000 0.539
S1 S 0.058 0.000 0.198
S2 S 0.088 0.500 0.649
S3 S 0.100 0.500 0.024
S4 S 0.156 0.500 0.450
S5 S 0.169 0.000 0.898
S6 S 0.243 0.500 0.297
```

The total DFT energy (no corrections) is -6.033 eV per atom.



The following is a DFT calculation (PBEsol) of a relaxed structure of Nd6MnSi2S14.

```
data_Nd6MnSi2S14
_chemical_formula_sum 'Nd6 Mn1 Si2 S14'
_cell_length_a 10.0627
_cell_length_b 10.0627
_cell_length_c 5.6367
_cell_angle_alpha 90.00
_cell_angle_beta 90.00
_cell_angle_gamma 120.00
_symmetry_space_group_name_H-M 'P 3'
_symmetry_Int_Tables_number 143
loop_
_symmetry_equiv_pos_as_xyz
'x,y,z'
'-y,x-y,z'
'-x+y,-x,z'
loop_
_atom_site_label
_atom_site_type_symbol
_atom_site_fract_x
_atom_site_fract_y
_atom_site_fract_z
Nd1 Nd 0.0240 0.5651 0.0000
Nd2 Nd 0.3092 0.1008 0.5065
Mn1 Mn 0.6667 0.3333 0.2634
Si1 Si 0.0000 0.0000 0.9234
Si2 Si 0.3333 0.6667 0.4153
S1 S 0.0000 0.0000 0.2951
S2 S 0.0780 0.8546 0.7779
S3 S 0.1884 0.4428 0.2718
S4 S 0.3333 0.6667 0.7876
S5 S 0.4206 0.1739 0.0258
S6 S 0.5052 0.4179 0.5057
```

The total DFT energy (no corrections) is -6.592 eV per atom.



The following is a DFT calculation (PBEsol) of a relaxed structure of NdMn2Si2.

```
data_NdMn2Si2
_chemical_formula_sum 'Nd2 Mn4 Si4'
_cell_length_a 3.918
_cell_length_b 3.918
_cell_length_c 10.355
_cell_angle_alpha 90.00
_cell_angle_beta 90.00
_cell_angle_gamma 90.00
_symmetry_space_group_name_H-M 'I 4/m m m'
_symmetry_Int_Tables_number 139
_symmetry_space_group_name_Hall '-I 4 2'
loop_
_atom_site_label
_atom_site_type_symbol
_atom_site_fract_x
_atom_site_fract_y
_atom_site_fract_z
Nd1 Nd 0.000 0.000 0.000
Mn1 Mn 0.000 0.500 0.250
Si1 Si 0.000 0.000 0.375
```

The total DFT energy (no corrections) is -7.810 eV per atom.



The following is a DFT calculation (PBEsol) of a relaxed structure of NdMnSi2.

```
data_NdMnSi2
_chemical_formula_sum 'Nd4 Mn4 Si8'
_cell_length_a 4.013
_cell_length_b 17.389
_cell_length_c 3.952
_cell_angle_alpha 90.00
_cell_angle_beta 90.00
_cell_angle_gamma 90.00
_symmetry_space_group_name_H-M 'C m c m'
_symmetry_Int_Tables_number 63
_symmetry_space_group_name_Hall '-C 2c 2'
loop_
_atom_site_label
_atom_site_type_symbol
_atom_site_fract_x
_atom_site_fract_y
_atom_site_fract_z
Nd1 Nd 0.000 0.102 0.250
Mn1 Mn 0.000 0.250 0.750
Si1 Si 0.000 0.322 0.250
Si2 Si 0.000 0.463 0.250
```

The total DFT energy (no corrections) is -7.254 eV per atom.